## YMgSc2Ga4 (PBE)

Data for YMgSc2Ga4 after structural relaxation.

Structure (CIF):
```
data_YMgSc2Ga4
_chemical_formula_sum 'Y3 Mg3 Sc6 Ga12'
_cell_length_a 4.7854
_cell_length_b 4.7854
_cell_length_c 24.2657
_cell_angle_alpha 90.00
_cell_angle_beta 90.00
_cell_angle_gamma 120.00
_symmetry_space_group_name_H-M 'R -3 m'
_symmetry_Int_Tables_number 166
_symmetry_space_group_name_Hall '-R 3 2"'
loop_
_atom_site_label
_atom_site_type_symbol
_atom_site_fract_x
_atom_site_fract_y
_atom_site_fract_z
Y1 Y 0.0000 0.0000 0.0000
Mg1 Mg 0.0000 0.0000 0.5000
Sc1 Sc 0.0000 0.0000 0.2436
Ga1 Ga 0.0000 0.0000 0.1253
Ga2 Ga 0.0000 0.0000 0.3782
```

Output
V = 20.1 Å³ per atom
DFT formation energy = -0.481 eV/atom